[1]
An optimized crystal structure of CaLaSbAs2. Source: the Alexandria database, functional PBE.

Unit cell a=5.518 b=5.518 c=5.385 alpha=90.00 beta=90.00 gamma=90.00
Fractional coordinates of all 5 atoms:
Ca (0.000, 0.000, 0.000)
La (0.500, 0.500, 0.000)
Sb (0.000, 0.000, 0.500)
As (0.000, 0.500, 0.500)
As (0.500, 0.000, 0.500)

Summary:
Calculated density: 4.562 g/cm³
SG: P4/mmm
Magnetization: 0.000 μB/atom
Formation energy (no corrections): 0.11 eV per atom

***

[2]
An optimized crystal structure of CaLaAsSe. Source: the Alexandria database, functional PBE.

Unit cell a=7.426 b=7.426 c=7.426 alpha=33.98 beta=33.98 gamma=33.98
Fractional coordinates of all 4 atoms:
Ca (0.000, 0.000, 0.000)
La (0.493, 0.493, 0.493)
As (0.748, 0.748, 0.748)
Se (0.248, 0.248, 0.248)

Summary:
Calculated density: 4.846 g/cm³
SG: R3m
Magnetization: 0.000 μB/atom
Formation energy (no corrections): -1.74 eV per atom

***

[3]
An optimized crystal structure of CaLa2SmAs4. Source: the Alexandria database, functional PBE.

Unit cell a=7.412 b=4.325 c=7.504 alpha=90.00 beta=109.69 gamma=90.00
Fractional coordinates of all 8 atoms:
Ca (0.000, 0.000, 0.000)
La (0.500, 0.000, 0.500)
La (0.500, 0.500, 0.000)
Sm (0.000, 0.500, 0.500)
As (0.244, 0.000, 0.745)
As (0.247, 0.500, 0.252)
As (0.753, 0.500, 0.748)
As (0.756, 0.000, 0.255)

Summary:
Calculated density: 5.630 g/cm³
SG: P2/m
Magnetization: 0.000 μB/atom
Energy of formation from the pure elements: -1060 kJ/mol of formula units

***

[4]
An optimized crystal structure of CaLaSm2As4. Source: the Alexandria database, functional PBE.

Unit cell a=7.396 b=7.396 c=7.396 alpha=131.98 beta=131.98 gamma=70.26
Fractional coordinates of all 8 atoms:
Ca (0.000, 0.000, 0.000)
La (0.500, 0.500, 0.000)
Sm (0.250, 0.750, 0.500)
Sm (0.750, 0.250, 0.500)
As (0.000, 0.500, 0.500)
As (0.251, 0.251, 0.000)
As (0.500, 0.000, 0.500)
As (0.749, 0.749, 0.000)

Summary:
Calculated density: 5.906 g/cm³
SG: I4/mmm
Magnetization: 0.000 μB/atom
Energy of formation from the pure elements: -1053 kJ/mol of formula units

***

[5]
An optimized crystal structure of Sr2CaLaAs. Source: the Alexandria database, functional PBE.

Unit cell a=6.142 b=6.142 c=5.895 alpha=90.00 beta=90.00 gamma=90.00
Fractional coordinates of all 5 atoms:
Sr (0.000, 0.500, 0.000)
Sr (0.500, 0.000, 0.000)
Ca (0.000, 0.000, 0.500)
La (0.500, 0.500, 0.500)
As (0.500, 0.500, 0.000)

Summary:
Calculated density: 3.204 g/cm³
SG: P4/mmm
Magnetization: 0.083 μB/atom
Energy of formation from the pure elements: -200 kJ/mol of formula units

***

[6]
An optimized crystal structure of CaLa2TbAs4. Source: the Alexandria database, functional PBE.

Unit cell a=7.353 b=4.307 c=7.487 alpha=90.00 beta=109.74 gamma=90.00
Fractional coordinates of all 8 atoms:
Ca (0.000, 0.000, 0.000)
La (0.500, 0.000, 0.500)
La (0.500, 0.500, 0.000)
Tb (0.000, 0.500, 0.500)
As (0.240, 0.000, 0.742)
As (0.244, 0.500, 0.254)
As (0.756, 0.500, 0.746)
As (0.760, 0.000, 0.258)

Summary:
Calculated density: 5.778 g/cm³
SG: P2/m
Magnetization: 0.000 μB/atom
Energy of formation from the pure elements: -1060 kJ/mol of formula units

***

[7]
An optimized crystal structure of CaLaTh2As4. Source: the Alexandria database, functional PBE.

Unit cell a=7.423 b=4.296 c=7.437 alpha=90.00 beta=109.49 gamma=90.00
Fractional coordinates of all 8 atoms:
Ca (0.000, 0.000, 0.000)
La (0.500, 0.500, 0.000)
Th (0.000, 0.500, 0.500)
Th (0.500, 0.000, 0.500)
As (0.246, 0.000, 0.742)
As (0.252, 0.500, 0.259)
As (0.748, 0.500, 0.741)
As (0.754, 0.000, 0.258)

Summary:
Calculated density: 7.002 g/cm³
SG: P2/m
Magnetization: 0.000 μB/atom
Energy of formation from the pure elements: -1108 kJ/mol of formula units

***

[8]
An optimized crystal structure of Ca2LaThAs4. Source: the Alexandria database, functional PBE.

Unit cell a=7.324 b=4.340 c=7.536 alpha=90.00 beta=110.03 gamma=90.00
Fractional coordinates of all 8 atoms:
Ca (0.000, 0.000, 0.000)
Ca (0.000, 0.500, 0.500)
La (0.500, 0.000, 0.500)
Th (0.500, 0.500, 0.000)
As (0.254, 0.500, 0.245)
As (0.257, 0.000, 0.758)
As (0.743, 0.000, 0.242)
As (0.746, 0.500, 0.755)

Summary:
Calculated density: 5.541 g/cm³
SG: P2/m
Magnetization: 0.000 μB/atom
Energy of formation from the pure elements: -984 kJ/mol of formula units

***

[9]
An optimized crystal structure of CaLa2TmAs4. Source: the Alexandria database, functional PBE.

Unit cell a=7.289 b=4.293 c=7.472 alpha=90.00 beta=109.79 gamma=90.00
Fractional coordinates of all 8 atoms:
Ca (0.000, 0.000, 0.000)
La (0.500, 0.000, 0.500)
La (0.500, 0.500, 0.000)
Tm (0.000, 0.500, 0.500)
As (0.237, 0.000, 0.739)
As (0.242, 0.500, 0.255)
As (0.758, 0.500, 0.745)
As (0.763, 0.000, 0.261)

Summary:
Calculated density: 5.938 g/cm³
SG: P2/m
Magnetization: 0.000 μB/atom
Energy of formation from the pure elements: -1049 kJ/mol of formula units

***

[10]
An optimized crystal structure of CaLa2ZrAs4. Source: the Alexandria database, functional PBE.

Unit cell a=7.210 b=4.202 c=7.333 alpha=90.00 beta=109.25 gamma=90.00
Fractional coordinates of all 8 atoms:
Ca (0.000, 0.000, 0.000)
La (0.500, 0.000, 0.500)
La (0.500, 0.500, 0.000)
Zr (0.000, 0.500, 0.500)
As (0.227, 0.000, 0.732)
As (0.233, 0.500, 0.259)
As (0.767, 0.500, 0.741)
As (0.773, 0.000, 0.268)

Summary:
Calculated density: 5.612 g/cm³
SG: P2/m
Magnetization: 0.000 μB/atom
Energy of formation from the pure elements: -1023 kJ/mol of formula units

***

[11]
An optimized crystal structure of LiCaAs2. Source: the Alexandria database, functional PBE.

Unit cell a=3.819 b=3.819 c=5.943 alpha=90.00 beta=90.00 gamma=90.00
Fractional coordinates of all 4 atoms:
Li (0.000, 0.000, 0.000)
Ca (0.500, 0.500, 0.640)
As (0.000, 0.000, 0.425)
As (0.500, 0.500, 0.147)

Summary:
Calculated density: 3.771 g/cm³
Distance to the lowest polymorph of the same formula: 324 meV/atom
SG: P4mm
Magnetization: 0.000 μB/atom
Energy of formation from the pure elements: -134 kJ/mol of formula units

***

[12]
An optimized crystal structure of LiCa4As. Source: the Alexandria database, functional PBE.

Unit cell a=6.711 b=6.711 c=6.711 alpha=60.00 beta=60.00 gamma=60.00
Fractional coordinates of all 6 atoms:
Li (0.000, 0.000, 0.000)
Ca (0.376, 0.376, 0.376)
Ca (0.376, 0.376, 0.872)
Ca (0.376, 0.872, 0.376)
Ca (0.872, 0.376, 0.376)
As (0.750, 0.750, 0.750)

Summary:
Calculated density: 1.881 g/cm³
SG: F-43m
Magnetization: 0.000 μB/atom
Energy of formation from the pure elements: 171 kJ/mol of formula units

***

[13]
An optimized crystal structure of LiCaAs2. Source: the Alexandria database, functional PBE.

Unit cell a=8.980 b=8.980 c=8.980 alpha=148.95 beta=148.95 gamma=44.48
Fractional coordinates of all 8 atoms:
Li (0.000, 0.000, 0.000)
Li (0.750, 0.250, 0.500)
Ca (0.250, 0.750, 0.500)
Ca (0.500, 0.500, 0.000)
As (0.375, 0.245, 0.370)
As (0.755, 0.125, 0.130)
As (0.875, 0.005, 0.630)
As (0.995, 0.625, 0.870)

Summary:
Calculated density: 3.404 g/cm³
Distance to the lowest polymorph of the same formula: 57 meV/atom
SG: I-42d
Magnetization: 0.000 μB/atom
Energy of formation from the pure elements: -237 kJ/mol of formula units

***

[14]
An optimized crystal structure of Li5Ca2As3. Source: the Alexandria database, functional PBE.

Unit cell a=13.130 b=13.130 c=6.969 alpha=90.00 beta=90.00 gamma=161.05
Fractional coordinates of all 20 atoms:
Li (0.058, 0.942, 0.500)
Li (0.124, 0.876, 0.869)
Li (0.273, 0.727, 0.685)
Li (0.299, 0.701, 0.292)
Li (0.406, 0.594, 0.719)
Li (0.594, 0.406, 0.219)
Li (0.701, 0.299, 0.792)
Li (0.727, 0.273, 0.185)
Li (0.876, 0.124, 0.369)
Li (0.942, 0.058, 0.000)
Ca (0.179, 0.821, 0.435)
Ca (0.480, 0.520, 0.338)
Ca (0.520, 0.480, 0.838)
Ca (0.821, 0.179, 0.935)
As (0.045, 0.955, 0.121)
As (0.224, 0.776, 0.006)
As (0.387, 0.613, 0.091)
As (0.613, 0.387, 0.591)
As (0.776, 0.224, 0.506)
As (0.955, 0.045, 0.621)

Summary:
Calculated density: 2.891 g/cm³
SG: Cmc2_1
Magnetization: 0.000 μB/atom
Energy of formation from the pure elements: -831 kJ/mol of formula units

***

[15]
An optimized crystal structure of LiCaAs2. Source: the Alexandria database, functional PBE.

Unit cell a=5.165 b=5.165 c=3.177 alpha=90.00 beta=90.00 gamma=104.25
Fractional coordinates of all 4 atoms:
Li (0.000, 0.000, 0.000)
Ca (0.500, 0.500, 0.000)
As (0.000, 0.500, 0.500)
As (0.500, 0.000, 0.500)

Summary:
Calculated density: 3.979 g/cm³
Distance to the lowest polymorph of the same formula: 41 meV/atom
SG: Cmmm
Magnetization: 0.000 μB/atom
Energy of formation from the pure elements: -243 kJ/mol of formula units

***

[16]
An optimized crystal structure of LiCaAs2. Source: the Alexandria database, functional PBE.

Unit cell a=8.806 b=8.806 c=8.806 alpha=24.37 beta=24.37 gamma=24.37
Fractional coordinates of all 4 atoms:
Li (0.000, 0.000, 0.000)
Ca (0.777, 0.777, 0.777)
As (0.259, 0.259, 0.259)
As (0.535, 0.535, 0.535)

Summary:
Calculated density: 3.198 g/cm³
Distance to the lowest polymorph of the same formula: 585 meV/atom
SG: R3m
Magnetization: 0.000 μB/atom
Energy of formation from the pure elements: -33 kJ/mol of formula units

***

[17]
An optimized crystal structure of LiCaAs2. Source: the Alexandria database, functional PBE.

Unit cell a=4.432 b=4.432 c=4.113 alpha=90.00 beta=90.00 gamma=90.00
Fractional coordinates of all 4 atoms:
Li (0.000, 0.000, 0.000)
Ca (0.500, 0.500, 0.000)
As (0.000, 0.500, 0.500)
As (0.500, 0.000, 0.500)

Summary:
Calculated density: 4.046 g/cm³
Distance to the lowest polymorph of the same formula: 0 meV/atom
SG: P4/mmm
Magnetization: 0.000 μB/atom
Energy of formation from the pure elements: -259 kJ/mol of formula units

***

[18]
An optimized crystal structure of LiCaAs2. Source: the Alexandria database, functional PBE.

Unit cell a=4.369 b=4.369 c=10.241 alpha=102.38 beta=102.38 gamma=89.66
Fractional coordinates of all 8 atoms:
Li (0.143, 0.857, 0.500)
Li (0.857, 0.143, 0.000)
Ca (0.283, 0.532, 0.764)
Ca (0.532, 0.283, 0.264)
As (0.019, 0.757, 0.214)
As (0.482, 0.683, 0.063)
As (0.683, 0.482, 0.563)
As (0.757, 0.019, 0.714)

Summary:
Calculated density: 3.510 g/cm³
Distance to the lowest polymorph of the same formula: 20 meV/atom
SG: Cc
Magnetization: 0.000 μB/atom
Energy of formation from the pure elements: -252 kJ/mol of formula units

***

[19]
An optimized crystal structure of LiCa2As2. Source: the Alexandria database, functional PBE.

Unit cell a=8.503 b=8.503 c=3.410 alpha=90.00 beta=90.00 gamma=90.00
Fractional coordinates of all 10 atoms:
Li (0.000, 0.000, 0.000)
Li (0.500, 0.500, 0.000)
Ca (0.134, 0.366, 0.000)
Ca (0.366, 0.866, 0.000)
Ca (0.634, 0.134, 0.000)
Ca (0.866, 0.634, 0.000)
As (0.167, 0.667, 0.500)
As (0.333, 0.167, 0.500)
As (0.667, 0.833, 0.500)
As (0.833, 0.333, 0.500)

Summary:
Calculated density: 3.192 g/cm³
Distance to the lowest polymorph of the same formula: 110 meV/atom
SG: P4/mbm
Magnetization: 0.000 μB/atom
Energy of formation from the pure elements: -358 kJ/mol of formula units

***

[20]
An optimized crystal structure of LiCaAs2. Source: the Alexandria database, functional PBE.

Unit cell a=6.036 b=6.036 c=6.036 alpha=144.65 beta=137.16 gamma=56.71
Fractional coordinates of all 4 atoms:
Li (0.000, 0.000, 0.000)
Ca (0.745, 0.245, 0.500)
As (0.304, 0.804, 0.500)
As (0.492, 0.492, 0.000)

Summary:
Calculated density: 3.808 g/cm³
Distance to the lowest polymorph of the same formula: 85 meV/atom
SG: Imm2
Magnetization: 0.000 μB/atom
Energy of formation from the pure elements: -226 kJ/mol of formula units